Record 1
# Co3Re4B4

A relaxed Co3Re4B4 crystal (GGA-PBE, the Alexandria database).

a b c (Å): 5.3149 5.3149 7.9554
angles (deg): 90.00 90.00 90.00
Sites, in units of the cell vectors:
Co  0.0000  0.0000  0.0000
Co  0.1611  0.3389  0.5000
Co  0.3389  0.8389  0.5000
Co  0.5000  0.5000  0.0000
Co  0.6611  0.1611  0.5000
Co  0.8389  0.6611  0.5000
Re  0.1745  0.6745  0.2234
Re  0.1745  0.6745  0.7766
Re  0.3255  0.1745  0.2234
Re  0.3255  0.1745  0.7766
Re  0.6745  0.8255  0.2234
Re  0.6745  0.8255  0.7766
Re  0.8255  0.3255  0.2234
Re  0.8255  0.3255  0.7766
B  0.0000  0.0000  0.3775
B  0.0000  0.0000  0.6225
B  0.1226  0.3774  0.0000
B  0.3774  0.8774  0.0000
B  0.5000  0.5000  0.3775
B  0.5000  0.5000  0.6225
B  0.6226  0.1226  0.0000
B  0.8774  0.6226  0.0000

## Properties
DFT total energy (eV per atom): -9.13

=====

Record 2
# BaCo3Ge

A relaxed BaCo3Ge crystal (GGA-PBE, the Alexandria database).

a b c (Å): 4.8517 4.8517 4.8517
angles (deg): 90.00 90.00 90.00
Sites, in units of the cell vectors:
Ba  0.0000  0.0000  0.0000
Co  0.0000  0.0000  0.5000
Co  0.0000  0.5000  0.0000
Co  0.5000  0.0000  0.0000
Ge  0.5000  0.5000  0.5000

## Properties
Energy above the most stable polymorph in this dataset (kJ/mol of atoms): 162.2

=====

Record 3
# BeTc2Os

A relaxed BeTc2Os crystal (GGA-PBE, the Alexandria database).

a b c (Å): 2.6572 2.6572 8.4481
angles (deg): 90.00 90.00 115.05
Sites, in units of the cell vectors:
Be  0.0000  0.0000  0.0000
Tc  0.5000  0.5000  0.2318
Tc  0.5000  0.5000  0.7682
Os  0.0000  0.0000  0.5000

## Properties
DFT total energy (eV per atom): -8.62

=====

| no. | total moment (μB/f.u.) |
| --- | --- |
| 1 | 0.98 |
| 2 | 3.18 |
| 3 | 0.00 |